(1)
DFT (GGA-PBE) results for an optimized crystal structure of YCdAs2Rh5.

Properties
ρ (Mg/m³): 9.20
Energy of formation from the pure elements (eV per atom): -0.457
M_tot (Bohr magnetons per cell): 0.000

```
data_YCdAs2Rh5
_cell_length_a 4.2656
_cell_length_b 4.2656
_cell_length_c 8.5885
_cell_angle_alpha 90.00
_cell_angle_beta 90.00
_cell_angle_gamma 90.00
_space_group_name_H-M_alt 'P 4/m m m'
_space_group_IT_number 123
_space_group_name_Hall '-P 4 2'
loop_
_atom_site_label
_atom_site_type_symbol
_atom_site_fract_x
_atom_site_fract_y
_atom_site_fract_z
_atom_site_occupancy
Y1 Y 0.0000 0.0000 0.0000 1
Cd1 Cd 0.0000 0.0000 0.5000 1
As1 As 0.5000 0.5000 0.3550 1
Rh1 Rh 0.0000 0.5000 0.2353 1
Rh2 Rh 0.5000 0.5000 0.0000 1
```



(2)
DFT (GGA-PBE) results for an optimized crystal structure of CdAsRu.

Properties
ρ (Mg/m³): 8.75
Energy of formation from the pure elements (eV per atom): 0.086
M_tot (Bohr magnetons per cell): 0.000
Energy above the lowest structure with this stoichiometry (meV per atom): 216

```
data_CdAsRu
_cell_length_a 4.1599
_cell_length_b 4.1599
_cell_length_c 3.6518
_cell_angle_alpha 90.00
_cell_angle_beta 90.00
_cell_angle_gamma 120.00
_space_group_name_H-M_alt 'P -6 m 2'
_space_group_IT_number 187
_space_group_name_Hall 'P -6 2'
loop_
_atom_site_label
_atom_site_type_symbol
_atom_site_fract_x
_atom_site_fract_y
_atom_site_fract_z
_atom_site_occupancy
Cd1 Cd 0.0000 0.0000 0.0000 1
As1 As 0.3333 0.6667 0.5000 1
Ru1 Ru 0.6667 0.3333 0.5000 1
```



(3)
DFT (GGA-PBE) results for an optimized crystal structure of CdAsRu.

Properties
ρ (Mg/m³): 8.62
Energy of formation from the pure elements (eV per atom): -0.129
M_tot (Bohr magnetons per cell): 0.000
Energy above the lowest structure with this stoichiometry (meV per atom): 0

```
data_CdAsRu
_cell_length_a 4.2441
_cell_length_b 4.2441
_cell_length_c 6.1701
_cell_angle_alpha 90.00
_cell_angle_beta 90.00
_cell_angle_gamma 90.00
_space_group_name_H-M_alt 'P 4/n m m'
_space_group_IT_number 129
loop_
_space_group_symop_operation_xyz
'x,y,z'
'-x,-y,-z'
'-y+1/2,x,z'
'y+1/2,-x,-z'
'-x+1/2,-y+1/2,z'
'x+1/2,y+1/2,-z'
'y,-x+1/2,z'
'-y,x+1/2,-z'
'x+1/2,-y,-z'
'-x+1/2,y,z'
'-y,-x,-z'
'y,x,z'
'-x,y+1/2,-z'
'x,-y+1/2,z'
'y+1/2,x+1/2,-z'
'-y+1/2,-x+1/2,z'
loop_
_atom_site_label
_atom_site_type_symbol
_atom_site_fract_x
_atom_site_fract_y
_atom_site_fract_z
_atom_site_occupancy
Cd1 Cd 0.2500 0.2500 0.1664 1
As1 As 0.2500 0.2500 0.7180 1
Ru1 Ru 0.2500 0.7500 0.5000 1
```



(4)
DFT (GGA-PBE) results for an optimized crystal structure of CdAsRu.

Properties
ρ (Mg/m³): 8.24
Energy of formation from the pure elements (eV per atom): 0.249
M_tot (Bohr magnetons per cell): 0.001
Energy above the lowest structure with this stoichiometry (meV per atom): 378

```
data_CdAsRu
_cell_length_a 6.1488
_cell_length_b 6.1488
_cell_length_c 6.1488
_cell_angle_alpha 90.00
_cell_angle_beta 90.00
_cell_angle_gamma 90.00
_space_group_name_H-M_alt 'F -4 3 m'
_space_group_IT_number 216
_space_group_name_Hall 'F -4 2 3'
loop_
_atom_site_label
_atom_site_type_symbol
_atom_site_fract_x
_atom_site_fract_y
_atom_site_fract_z
_atom_site_occupancy
Cd1 Cd 0.0000 0.0000 0.0000 1
As1 As 0.0000 0.0000 0.5000 1
Ru1 Ru 0.2500 0.2500 0.2500 1
```



(5)
DFT (GGA-PBE) results for an optimized crystal structure of Cd2AsRu2.

Properties
ρ (Mg/m³): 8.81
Energy of formation from the pure elements (eV per atom): 0.706
M_tot (Bohr magnetons per cell): 4.914
Energy above the lowest structure with this stoichiometry (meV per atom): 714

```
data_Cd2AsRu2
_cell_length_a 3.6757
_cell_length_b 3.6757
_cell_length_c 13.9975
_cell_angle_alpha 90.00
_cell_angle_beta 90.00
_cell_angle_gamma 90.00
_space_group_name_H-M_alt 'I 4/m m m'
_space_group_IT_number 139
_space_group_name_Hall '-I 4 2'
loop_
_atom_site_label
_atom_site_type_symbol
_atom_site_fract_x
_atom_site_fract_y
_atom_site_fract_z
_atom_site_occupancy
Cd1 Cd 0.0000 0.5000 0.2500 1
As1 As 0.0000 0.0000 0.0000 1
Ru1 Ru 0.0000 0.0000 0.4125 1
```



(6)
DFT (GGA-PBE) results for an optimized crystal structure of CdAsRu.

Properties
ρ (Mg/m³): 8.87
Energy of formation from the pure elements (eV per atom): -0.064
M_tot (Bohr magnetons per cell): 0.000
Energy above the lowest structure with this stoichiometry (meV per atom): 65

```
data_CdAsRu
_cell_length_a 3.1024
_cell_length_b 3.1024
_cell_length_c 11.2222
_cell_angle_alpha 90.00
_cell_angle_beta 90.00
_cell_angle_gamma 90.00
_space_group_name_H-M_alt 'I 4 m m'
_space_group_IT_number 107
_space_group_name_Hall 'I 4 -2'
loop_
_atom_site_label
_atom_site_type_symbol
_atom_site_fract_x
_atom_site_fract_y
_atom_site_fract_z
_atom_site_occupancy
Cd1 Cd 0.0000 0.0000 0.0000 1
As1 As 0.0000 0.0000 0.2839 1
Ru1 Ru 0.0000 0.0000 0.6734 1
```



(7)
DFT (GGA-PBE) results for an optimized crystal structure of CdAsRu.

Properties
ρ (Mg/m³): 8.62
Energy of formation from the pure elements (eV per atom): -0.033
M_tot (Bohr magnetons per cell): 0.000
Energy above the lowest structure with this stoichiometry (meV per atom): 97

```
data_CdAsRu
_cell_length_a 3.0974
_cell_length_b 3.0974
_cell_length_c 6.6889
_cell_angle_alpha 90.00
_cell_angle_beta 90.00
_cell_angle_gamma 120.00
_space_group_name_H-M_alt 'P 3 m 1'
_space_group_IT_number 156
loop_
_space_group_symop_operation_xyz
'x,y,z'
'-y,x-y,z'
'-x+y,-x,z'
'-y,-x,z'
'-x+y,y,z'
'x,x-y,z'
loop_
_atom_site_label
_atom_site_type_symbol
_atom_site_fract_x
_atom_site_fract_y
_atom_site_fract_z
_atom_site_occupancy
Cd1 Cd 0.0000 0.0000 0.0000 1
As1 As 0.3333 0.6667 0.5849 1
Ru1 Ru 0.6667 0.3333 0.3391 1
```



(8)
DFT (GGA-PBE) results for an optimized crystal structure of Cd2AsRu2.

Properties
ρ (Mg/m³): 9.32
Energy of formation from the pure elements (eV per atom): -0.009
M_tot (Bohr magnetons per cell): 0.000
Energy above the lowest structure with this stoichiometry (meV per atom): 0

```
data_Cd2AsRu2
_cell_length_a 6.2575
_cell_length_b 6.2575
_cell_length_c 4.5686
_cell_angle_alpha 90.00
_cell_angle_beta 90.00
_cell_angle_gamma 90.00
_space_group_name_H-M_alt 'P 4/m b m'
_space_group_IT_number 127
_space_group_name_Hall '-P 4 2ab'
loop_
_atom_site_label
_atom_site_type_symbol
_atom_site_fract_x
_atom_site_fract_y
_atom_site_fract_z
_atom_site_occupancy
Cd1 Cd 0.1621 0.3379 0.0000 1
As1 As 0.0000 0.0000 0.5000 1
Ru1 Ru 0.1474 0.6474 0.5000 1
```



Question: The highest M_tot belongs to which entry?
Answer: number 5



Question: Number 3 is which compound?
Answer: CdAsRu